The following is a DFT calculation (PBE) of a relaxed Nd4ZnGe3 crystal.

Unit cell a=4.4151 b=4.1389 c=11.2470 alpha=90.00 beta=90.00 gamma=90.00
With the nearest neighbours (Å) after each atom.
Fractional coordinates of all 8 atoms:
Nd 0.0000 0.0000 0.1418  4 Zn 3.13, 3 Ge 3.16-3.31
Nd 0.5000 0.5000 0.3622  6 Ge 3.10-3.31, 1 Zn 3.30
Nd 0.5000 0.0000 0.6389  7 Ge 3.09-3.28
Nd 0.0000 0.5000 0.8596  5 Ge 3.11-3.12, 2 Zn 3.23
Ge 0.0000 0.0000 0.4231  2 Ge 2.73
Ge 0.0000 0.5000 0.5821  2 Ge 2.73
Ge 0.5000 0.0000 0.9231  2 Zn 2.64
Zn 0.5000 0.5000 0.0692  2 Ge 2.64

Crystal system: orthorhombic
Spin magnetization (μB/cell): 0.3
Energy of formation from the pure elements (eV per atom): -0.71
Space-group type: Pmm2 (25)



The following is a DFT calculation (PBE) of a relaxed NdZnGe2 crystal.

Unit cell a=4.2226 b=4.4342 c=4.4342 alpha=90.00 beta=90.00 gamma=90.00
With the nearest neighbours (Å) after each atom.
Fractional coordinates of all 4 atoms:
Ge 0.0000 0.0000 0.5000  4 Nd 3.06, 4 Zn 3.06, 4 Ge 3.14
Ge 0.0000 0.5000 0.0000  4 Nd 3.06, 4 Zn 3.06, 4 Ge 3.14
Nd 0.5000 0.5000 0.5000  8 Ge 3.06, 4 Zn 3.14
Zn 0.5000 0.0000 0.0000  8 Ge 3.06, 4 Nd 3.14

Crystal system: tetragonal
Spin magnetization (μB/cell): 0.0
Energy of formation from the pure elements (eV per atom): -0.42
Space-group type: P4/mmm (123)



The following is a DFT calculation (PBE) of a relaxed NdZnGe crystal.

Unit cell a=4.1413 b=4.1413 c=5.1144 alpha=113.88 beta=113.88 gamma=90.00
With the nearest neighbours (Å) after each atom.
Fractional coordinates of all 3 atoms:
Zn 0.9641 0.9641 0.9283  1 Ge 2.54
Ge 0.2665 0.2665 0.5331  1 Zn 2.54
Nd 0.6193 0.6193 0.2386  5 Zn 2.89-3.20, 5 Ge 2.96-3.18

Crystal system: tetragonal
Spin magnetization (μB/cell): 0.0
Energy of formation from the pure elements (eV per atom): -0.22
Space-group type: I4mm (107)



D(E_F) (computed, states/eV/cell): 7.58 1.43 2.00